Density functional theory data (GGA-PBE) for a geometry-optimized TbPmCuNi structure.

Cell: 3.774 4.437 5.526 Å, 90.00 109.97 90.00°
Element x y z (fractional)
Tb  0.862  0.500  0.724
Ni  0.429  0.000  0.857
Cu  0.569  0.500  0.138
Pm  0.140  0.000  0.280

## Properties
Size of the total moment, μB/atom: 0.00
Space group: Amm2, No. 38
Total energy, eV for the cell shown: -20.5
DOS at the Fermi energy, states/eV/f.u.: 3.28
DFT formation energy, eV/atom: -0.303
Energy relative to the lowest polymorph listed for this composition, eV per formula unit: 0.00